Material: BaTl2AgPt
Method: DFT, PBE
State: optimized geometry

abc: 5.3312 5.3312 6.0666
angles: 90.00 90.00 90.00
Last column: nearest neighbours and their distance in Å.
Fractional coordinates of all 5 atoms:
Ba1 0.0000 0.0000 0.0000  2 Pt 3.03
Tl1 0.0000 0.5000 0.5000  2 Pt 2.67
Tl2 0.5000 0.0000 0.5000  2 Pt 2.67
Ag1 0.5000 0.5000 0.0000  4 Ba 3.77, 8 Tl 4.04
Pt1 0.0000 0.0000 0.5000  4 Tl 2.67

Computed properties:
The value obtained for the total moment is 0.00 Bohr magnetons per cell. Its crystal system is tetragonal. The energy relative to the lowest polymorph listed for this composition comes out at 45 meV per atom. The energy of formation from the pure elements comes out at -138 meV per atom.